DFT (GGA-PBEsol) results for an optimized crystal structure of SrTiIN2.

Values from the calculation:
Its total moment is 0.100 μB per atom. The volume is 92.9 Å³ per cell. As for the formation energy (no corrections): -0.331 eV per atom.

a b c (Å): 4.1627 4.1627 5.3640
angles (deg): 90.00 90.00 90.00
Element x y z (fractional)
Sr  0.0000  0.0000  0.0000
Ti  0.5000  0.5000  0.5000
I  0.5000  0.5000  0.0000
N  0.0000  0.5000  0.5000
N  0.5000  0.0000  0.5000